# 1
## La3NdTm (PBE-GGA)

Data for a relaxed structure of La3NdTm.

V in Å³/atom: 36.239
M_tot in μB per cell: 0.00
Crystal system: hexagonal
Formation energy in eV per formula unit: 1.46
Energy above the most stable polymorph in this dataset in meV/atom: 238
Theoretical density in g/cm3: 6.69

The structure in CIF format:
```
data_La3NdTm
_chemical_formula_sum 'La6 Nd2 Tm2'
_cell_length_a 7.9017
_cell_length_b 7.9017
_cell_length_c 6.7009
_cell_angle_alpha 90.00
_cell_angle_beta 90.00
_cell_angle_gamma 120.00
_space_group_name_H-M_alt 'P 63/m m c'
_space_group_IT_number 194
_space_group_name_Hall '-P 6c 2c'
loop_
_atom_site_label
_atom_site_type_symbol
_atom_site_fract_x
_atom_site_fract_y
_atom_site_fract_z
La1 La 0.1990 0.3980 0.2500
Nd1 Nd 0.0000 0.0000 0.0000
Tm1 Tm 0.3333 0.6667 0.7500
```

=====

# 2
## TbTm12Sc6 (PBE-GGA)

Data for a relaxed structure of TbTm12Sc6.

V in Å³/atom: 30.938
M_tot in μB per cell: 0.00
Crystal system: trigonal
Formation energy in eV per formula unit: 8.29
Energy above the most stable polymorph in this dataset in meV/atom: 193
Theoretical density in g/cm3: 6.94

The structure in CIF format:
```
data_TbTm12Sc6
_chemical_formula_sum 'Tb3 Tm36 Sc18'
_cell_length_a 14.4314
_cell_length_b 14.4314
_cell_length_c 9.7775
_cell_angle_alpha 90.00
_cell_angle_beta 90.00
_cell_angle_gamma 120.00
_space_group_name_H-M_alt 'R -3 m'
_space_group_IT_number 166
_space_group_name_Hall '-R 3 2"'
loop_
_atom_site_label
_atom_site_type_symbol
_atom_site_fract_x
_atom_site_fract_y
_atom_site_fract_z
Tb1 Tb 0.0000 0.0000 0.0000
Tm1 Tm 0.0000 0.3876 0.5000
Tm2 Tm 0.0751 0.1502 0.2944
Sc1 Sc 0.0582 0.5291 0.2183
```

=====

# 3
## TaBAsRu2 (PBE-GGA)

Data for a relaxed structure of TaBAsRu2.

V in Å³/atom: 14.501
M_tot in μB per cell: 0.00
Crystal system: tetragonal
Formation energy in eV per formula unit: 1.75
Theoretical density in g/cm3: 10.74

The structure in CIF format:
```
data_TaBAsRu2
_chemical_formula_sum 'Ta1 B1 As1 Ru2'
_cell_length_a 4.040
_cell_length_b 4.040
_cell_length_c 4.443
_cell_angle_alpha 90.00
_cell_angle_beta 90.00
_cell_angle_gamma 90.00
_space_group_name_H-M_alt 'P 4/m m m'
_space_group_IT_number 123
_space_group_name_Hall '-P 4 2'
loop_
_atom_site_label
_atom_site_type_symbol
_atom_site_fract_x
_atom_site_fract_y
_atom_site_fract_z
Ta1 Ta 0.000 0.000 0.000
B1 B 0.500 0.500 0.500
As1 As 0.500 0.500 0.000
Ru1 Ru 0.000 0.500 0.500
```

=====

# 4
## CaLaHoTl (PBE-GGA)

Data for a relaxed structure of CaLaHoTl.

V in Å³/atom: 31.417
M_tot in μB per cell: 0.00
Crystal system: cubic
Formation energy in eV per formula unit: -0.34
Theoretical density in g/cm3: 7.25

The structure in CIF format:
```
data_CaLaHoTl
_chemical_formula_sum 'Ca4 La4 Ho4 Tl4'
_cell_length_a 7.951
_cell_length_b 7.951
_cell_length_c 7.951
_cell_angle_alpha 90.00
_cell_angle_beta 90.00
_cell_angle_gamma 90.00
_space_group_name_H-M_alt 'F -4 3 m'
_space_group_IT_number 216
_space_group_name_Hall 'F -4 2 3'
loop_
_atom_site_label
_atom_site_type_symbol
_atom_site_fract_x
_atom_site_fract_y
_atom_site_fract_z
Ca1 Ca 0.000 0.000 0.000
La1 La 0.250 0.250 0.750
Ho1 Ho 0.250 0.250 0.250
Tl1 Tl 0.000 0.000 0.500
```

=====

# 5
## SrLiB12 (PBE-GGA)

Data for a relaxed structure of SrLiB12.

V in Å³/atom: 10.348
M_tot in μB per cell: 0.00
Crystal system: tetragonal
Formation energy in eV per formula unit: -3.14
Theoretical density in g/cm3: 2.57

The structure in CIF format:
```
data_SrLiB12
_chemical_formula_sum 'Sr1 Li1 B12'
_cell_length_a 4.171
_cell_length_b 4.171
_cell_length_c 8.327
_cell_angle_alpha 90.00
_cell_angle_beta 90.00
_cell_angle_gamma 90.00
_space_group_name_H-M_alt 'P 4/m m m'
_space_group_IT_number 123
_space_group_name_Hall '-P 4 2'
loop_
_atom_site_label
_atom_site_type_symbol
_atom_site_fract_x
_atom_site_fract_y
_atom_site_fract_z
Sr1 Sr 0.000 0.000 0.000
Li1 Li 0.000 0.000 0.500
B1 B 0.200 0.500 0.252
B2 B 0.500 0.500 0.101
B3 B 0.500 0.500 0.401
```

=====

# 6
## LaNd2Hg2 (PBE-GGA)

Data for a relaxed structure of LaNd2Hg2.

V in Å³/atom: 30.339
M_tot in μB per cell: 0.95
Crystal system: monoclinic
Formation energy in eV per formula unit: -1.92
Energy above the most stable polymorph in this dataset in meV/atom: 0
Theoretical density in g/cm3: 9.07

The structure in CIF format:
```
data_LaNd2Hg2
_chemical_formula_sum 'La2 Nd4 Hg4'
_cell_length_a 3.877
_cell_length_b 5.551
_cell_length_c 14.229
_cell_angle_alpha 90.00
_cell_angle_beta 97.86
_cell_angle_gamma 90.00
_space_group_name_H-M_alt 'P 1 21/m 1'
_space_group_IT_number 11
loop_
_space_group_symop_operation_xyz
'x,y,z'
'-x,-y,-z'
'-x,y+1/2,-z'
'x,-y+1/2,z'
loop_
_atom_site_label
_atom_site_type_symbol
_atom_site_fract_x
_atom_site_fract_y
_atom_site_fract_z
La1 La 0.146 0.250 0.289
Nd1 Nd 0.048 0.750 0.096
Nd2 Nd 0.235 0.750 0.472
Hg1 Hg 0.356 0.250 0.712
Hg2 Hg 0.453 0.750 0.907
```

=====

# 7
## Na2Sb2Br (PBE-GGA)

Data for a relaxed structure of Na2Sb2Br.

Uncorrected formation energy in eV/atom: -0.43
V in Å³/atom: 32.511
M_tot in μB per cell: 0.00
Crystal system: tetragonal
Energy above the most stable polymorph in this dataset in meV/atom: 176
Theoretical density in g/cm3: 3.77

The structure in CIF format:
```
data_Na2Sb2Br
_chemical_formula_sum 'Na4 Sb4 Br2'
_cell_length_a 8.299
_cell_length_b 8.299
_cell_length_c 4.720
_cell_angle_alpha 90.00
_cell_angle_beta 90.00
_cell_angle_gamma 90.00
_space_group_name_H-M_alt 'P 4/m b m'
_space_group_IT_number 127
_space_group_name_Hall '-P 4 2ab'
loop_
_atom_site_label
_atom_site_type_symbol
_atom_site_fract_x
_atom_site_fract_y
_atom_site_fract_z
Na1 Na 0.187 0.313 0.000
Sb1 Sb 0.112 0.612 0.500
Br1 Br 0.000 0.000 0.000
```

=====

# 8
## KZnP2O7 (PBE-GGA)

Data for a relaxed structure of KZnP2O7.

Uncorrected formation energy in eV/atom: -1.92
V in Å³/atom: 15.524
M_tot in μB per cell: 4.15
Crystal system: orthorhombic
Theoretical density in g/cm3: 2.71

The structure in CIF format:
```
data_KZnP2O7
_chemical_formula_sum 'K4 Zn4 P8 O28'
_cell_length_a 12.643
_cell_length_b 5.188
_cell_length_c 10.413
_cell_angle_alpha 90.00
_cell_angle_beta 90.00
_cell_angle_gamma 90.00
_space_group_name_H-M_alt 'P m c 21'
_space_group_IT_number 26
loop_
_space_group_symop_operation_xyz
'x,y,z'
'-x,-y,z+1/2'
'-x,y,z'
'x,-y,z+1/2'
loop_
_atom_site_label
_atom_site_type_symbol
_atom_site_fract_x
_atom_site_fract_y
_atom_site_fract_z
K1 K 0.000 0.000 0.000
K2 K 0.500 0.493 0.219
Zn1 Zn 0.250 0.463 0.512
P1 P 0.110 0.455 0.765
P2 P 0.389 0.046 0.953
O1 O 0.000 0.404 0.219
O2 O 0.091 0.164 0.739
O3 O 0.121 0.480 0.408
O4 O 0.201 0.441 0.184
O5 O 0.299 0.105 0.513
O6 O 0.378 0.338 0.973
O7 O 0.408 0.029 0.311
O8 O 0.500 0.032 0.527
```

=====

| no. | calculated total energy (eV for the cell shown) |
| --- | --- |
| 1 | -45.121 |
| 2 | -263.950 |
| 3 | -39.984 |
| 4 | -56.842 |
| 5 | -86.864 |
| 6 | -33.966 |
| 7 | -29.455 |
| 8 | -276.150 |